Computed, not measured: a geometry-optimized Cr3FeRh6 structure at the PBE-GGA level of DFT.

Output
**Spin magnetization**: 3.451 Bohr magnetons per cell
**ΔE_f**: -0.102 eV/atom
**Symmetry**: No. 11
**DOS at the Fermi energy**: 18.21 states/eV/cell

Cell lengths 4.2491, 7.1040, 9.6513 Å; angles 114.54, 90.01, 90.00 degrees
With the nearest neighbours (Å) after each atom.
Fractional coordinates of all 20 atoms:
Cr 0.2499 0.5662 0.3690  9 Rh 2.60-2.73, 2 Cr 2.62, 1 Fe 2.66
Cr 0.7501 0.4338 0.6310  9 Rh 2.60-2.73, 2 Cr 2.62, 1 Fe 2.66
Cr 0.2499 0.3733 0.7667  8 Rh 2.61-2.72, 3 Cr 2.62-2.63, 1 Fe 2.76
Cr 0.7501 0.6268 0.2333  8 Rh 2.61-2.72, 3 Cr 2.62-2.63, 1 Fe 2.76
Cr 0.2500 0.7612 0.9673  11 Rh 2.60-2.78, 1 Cr 2.63
Cr 0.7500 0.2388 0.0327  11 Rh 2.60-2.78, 1 Cr 2.63
Fe 0.2498 0.9629 0.5624  8 Rh 2.56-2.71, 2 Fe 2.60, 2 Cr 2.66-2.76
Fe 0.7502 0.0371 0.4376  8 Rh 2.56-2.71, 2 Fe 2.60, 2 Cr 2.66-2.76
Rh 0.2500 0.4666 0.0701  7 Cr 2.60-2.72, 5 Rh 2.65-2.67
Rh 0.7500 0.5334 0.9299  7 Cr 2.60-2.72, 5 Rh 2.65-2.67
Rh 0.2501 0.1626 0.1621  4 Cr 2.63-2.73, 8 Rh 2.64-2.78
Rh 0.7499 0.8374 0.8379  4 Cr 2.63-2.73, 8 Rh 2.64-2.78
Rh 0.2499 0.6661 0.6696  5 Cr 2.61-2.68, 6 Rh 2.64-2.72, 1 Fe 2.71
Rh 0.7501 0.3339 0.3304  5 Cr 2.61-2.68, 6 Rh 2.64-2.72, 1 Fe 2.71
Rh 0.2501 0.2642 0.4728  4 Cr 2.60-2.72, 3 Fe 2.60-2.62, 5 Rh 2.69-2.78
Rh 0.7499 0.7358 0.5272  4 Cr 2.60-2.72, 3 Fe 2.60-2.62, 5 Rh 2.69-2.78
Rh 0.2502 0.8606 0.2744  3 Fe 2.56-2.63, 4 Cr 2.61-2.75, 5 Rh 2.66-2.78
Rh 0.7498 0.1394 0.7256  3 Fe 2.56-2.63, 4 Cr 2.61-2.75, 5 Rh 2.66-2.78
Rh 0.2499 0.0734 0.8652  4 Cr 2.63-2.78, 7 Rh 2.65-2.72, 1 Fe 2.69
Rh 0.7501 0.9266 0.1348  4 Cr 2.63-2.78, 7 Rh 2.65-2.72, 1 Fe 2.69

Computed, not measured: a geometry-optimized Co2AsOs structure at the PBE-GGA level of DFT.

Output
**Spin magnetization**: 1.690 Bohr magnetons per cell
**ΔE_f**: 0.226 eV/atom
**Symmetry**: No. 119
**DOS at the Fermi energy**: 5.12 states/eV/cell

Cell lengths 4.3999, 4.3999, 4.3999 Å; angles 129.16, 129.16, 74.76 degrees
With the nearest neighbours (Å) after each atom.
Fractional coordinates of all 4 atoms:
As 0.7500 0.2500 0.5000  4 Os 2.57, 8 Co 2.57-2.67
Co 0.0000 0.0000 0.0000  4 As 2.57, 4 Co 2.57, 4 Os 2.67
Co 0.2500 0.7500 0.5000  4 Co 2.57, 4 Os 2.57, 4 As 2.67
Os 0.5000 0.5000 0.0000  8 Co 2.57-2.67, 4 As 2.57